This record from Alexandria describes a geometry-optimized VCuTe3 structure. The functional is PBE-GGA.

a b c (Å): 5.1848 5.1848 5.1848
angles (deg): 90.00 90.00 90.00
Each line ends with the local moment (μB).
Sites, in units of the cell vectors:
1 Cu 0.5000 0.5000 0.5000  -0.01
2 Te 0.5000 0.0000 0.0000  -0.06
3 Te 0.0000 0.0000 0.5000  -0.06
4 Te 0.0000 0.5000 0.0000  -0.06
5 V 0.0000 0.0000 0.0000  0.84

Energy relative to the elements, uncorrected = 0.5269 eV/atom
Spin magnetization = 0.70 μB/f.u.
ρ = 5.92 Mg/m³